BiPtSe | PBEsol | optimized geometry

Structure (CIF):
```
data_BiPtSe
_chemical_formula_sum 'Bi4 Pt4 Se4'
_space_group_name_H-M_alt 'P 1'
_space_group_IT_number 1
_space_group_name_Hall 'P 1'
_cell_length_a 6.443
_cell_length_b 6.443
_cell_length_c 6.443
_cell_angle_alpha 90.00
_cell_angle_beta 90.00
_cell_angle_gamma 90.00
loop_
_atom_site_label
_atom_site_type_symbol
_atom_site_fract_x
_atom_site_fract_y
_atom_site_fract_z
_atom_site_occupancy
Bi1 Bi 0.132 0.368 0.632 1
Bi2 Bi 0.368 0.632 0.132 1
Bi3 Bi 0.632 0.132 0.368 1
Bi4 Bi 0.868 0.868 0.868 1
Pt1 Pt 0.014 0.986 0.486 1
Pt2 Pt 0.486 0.014 0.986 1
Pt3 Pt 0.514 0.514 0.514 1
Pt4 Pt 0.986 0.486 0.014 1
Se1 Se 0.120 0.120 0.120 1
Se2 Se 0.380 0.880 0.620 1
Se3 Se 0.620 0.380 0.880 1
Se4 Se 0.880 0.620 0.380 1
```

Output
Its space-group type is P2_13. The calculation puts the formation energy from raw total energies at -0.365 eV per atom.

Bi2Pt2Se | PBEsol | optimized geometry

Structure (CIF):
```
data_Bi2Pt2Se
_chemical_formula_sum 'Bi4 Pt4 Se2'
_space_group_name_H-M_alt 'P 1'
_space_group_IT_number 1
_space_group_name_Hall 'P 1'
_cell_length_a 7.410
_cell_length_b 7.410
_cell_length_c 3.889
_cell_angle_alpha 90.00
_cell_angle_beta 90.00
_cell_angle_gamma 90.00
loop_
_atom_site_label
_atom_site_type_symbol
_atom_site_fract_x
_atom_site_fract_y
_atom_site_fract_z
_atom_site_occupancy
Bi1 Bi 0.163 0.337 0.000 1
Bi2 Bi 0.337 0.837 0.000 1
Bi3 Bi 0.663 0.163 0.000 1
Bi4 Bi 0.837 0.663 0.000 1
Pt1 Pt 0.134 0.634 0.500 1
Pt2 Pt 0.366 0.134 0.500 1
Pt3 Pt 0.634 0.866 0.500 1
Pt4 Pt 0.866 0.366 0.500 1
Se1 Se 0.000 0.000 0.500 1
Se2 Se 0.500 0.500 0.500 1
```

Output
Its space-group type is P4/mbm. The calculation puts the formation energy from raw total energies at -0.090 eV per atom.

SiBiPt3 | PBEsol | optimized geometry

Structure (CIF):
```
data_SiBiPt3
_chemical_formula_sum 'Si1 Bi1 Pt3'
_space_group_name_H-M_alt 'P 1'
_space_group_IT_number 1
_space_group_name_Hall 'P 1'
_cell_length_a 4.566
_cell_length_b 4.566
_cell_length_c 4.566
_cell_angle_alpha 90.00
_cell_angle_beta 90.00
_cell_angle_gamma 90.00
loop_
_atom_site_label
_atom_site_type_symbol
_atom_site_fract_x
_atom_site_fract_y
_atom_site_fract_z
_atom_site_occupancy
Si1 Si 0.000 0.000 0.000 1
Bi1 Bi 0.500 0.500 0.500 1
Pt1 Pt 0.000 0.000 0.500 1
Pt2 Pt 0.000 0.500 0.000 1
Pt3 Pt 0.500 0.000 0.000 1
```

Output
Its space-group type is Pm-3m. The calculation puts the formation energy from raw total energies at -0.004 eV per atom.

Sn3BiPt | PBEsol | optimized geometry

Structure (CIF):
```
data_Sn3BiPt
_chemical_formula_sum 'Sn3 Bi1 Pt1'
_space_group_name_H-M_alt 'P 1'
_space_group_IT_number 1
_space_group_name_Hall 'P 1'
_cell_length_a 5.196
_cell_length_b 5.196
_cell_length_c 5.196
_cell_angle_alpha 90.00
_cell_angle_beta 90.00
_cell_angle_gamma 90.00
loop_
_atom_site_label
_atom_site_type_symbol
_atom_site_fract_x
_atom_site_fract_y
_atom_site_fract_z
_atom_site_occupancy
Sn1 Sn 0.000 0.000 0.500 1
Sn2 Sn 0.000 0.500 0.000 1
Sn3 Sn 0.500 0.000 0.000 1
Bi1 Bi 0.500 0.500 0.500 1
Pt1 Pt 0.000 0.000 0.000 1
```

Output
Its space-group type is Pm-3m. The calculated formation energy comes out at 20 meV/atom.

SrBi3Pt | PBEsol | optimized geometry

Structure (CIF):
```
data_SrBi3Pt
_chemical_formula_sum 'Sr1 Bi3 Pt1'
_space_group_name_H-M_alt 'P 1'
_space_group_IT_number 1
_space_group_name_Hall 'P 1'
_cell_length_a 5.461
_cell_length_b 5.461
_cell_length_c 5.461
_cell_angle_alpha 90.00
_cell_angle_beta 90.00
_cell_angle_gamma 90.00
loop_
_atom_site_label
_atom_site_type_symbol
_atom_site_fract_x
_atom_site_fract_y
_atom_site_fract_z
_atom_site_occupancy
Sr1 Sr 0.000 0.000 0.000 1
Bi1 Bi 0.000 0.500 0.500 1
Bi2 Bi 0.500 0.000 0.500 1
Bi3 Bi 0.500 0.500 0.000 1
Pt1 Pt 0.500 0.500 0.500 1
```

Output
Its space-group type is Pm-3m. The calculated formation energy comes out at -133 meV/atom.

Sr2TaBiPt | PBEsol | optimized geometry

Structure (CIF):
```
data_Sr2TaBiPt
_chemical_formula_sum 'Sr2 Ta1 Bi1 Pt1'
_space_group_name_H-M_alt 'P 1'
_space_group_IT_number 1
_space_group_name_Hall 'P 1'
_cell_length_a 5.721
_cell_length_b 5.721
_cell_length_c 5.216
_cell_angle_alpha 90.00
_cell_angle_beta 90.00
_cell_angle_gamma 90.00
loop_
_atom_site_label
_atom_site_type_symbol
_atom_site_fract_x
_atom_site_fract_y
_atom_site_fract_z
_atom_site_occupancy
Sr1 Sr 0.000 0.500 0.000 1
Sr2 Sr 0.500 0.000 0.000 1
Ta1 Ta 0.000 0.000 0.000 1
Bi1 Bi 0.000 0.000 0.500 1
Pt1 Pt 0.500 0.500 0.500 1
```

Output
Its space-group type is P4/mmm. The calculated formation energy comes out at 1030 meV/atom.

SrZrBiPt2 | PBEsol | optimized geometry

Structure (CIF):
```
data_SrZrBiPt2
_chemical_formula_sum 'Sr1 Zr1 Bi1 Pt2'
_space_group_name_H-M_alt 'P 1'
_space_group_IT_number 1
_space_group_name_Hall 'P 1'
_cell_length_a 5.052
_cell_length_b 5.052
_cell_length_c 5.677
_cell_angle_alpha 90.00
_cell_angle_beta 90.00
_cell_angle_gamma 90.00
loop_
_atom_site_label
_atom_site_type_symbol
_atom_site_fract_x
_atom_site_fract_y
_atom_site_fract_z
_atom_site_occupancy
Sr1 Sr 0.000 0.000 0.000 1
Zr1 Zr 0.500 0.500 0.000 1
Bi1 Bi 0.000 0.000 0.500 1
Pt1 Pt 0.000 0.500 0.500 1
Pt2 Pt 0.500 0.000 0.500 1
```

Output
Its space-group type is P4/mmm. The calculated formation energy comes out at 983 meV/atom.

TaBi2Pt | PBEsol | optimized geometry

Structure (CIF):
```
data_TaBi2Pt
_chemical_formula_sum 'Ta4 Bi8 Pt4'
_space_group_name_H-M_alt 'P 1'
_space_group_IT_number 1
_space_group_name_Hall 'P 1'
_cell_length_a 4.401
_cell_length_b 4.401
_cell_length_c 19.045
_cell_angle_alpha 90.00
_cell_angle_beta 90.00
_cell_angle_gamma 90.00
loop_
_atom_site_label
_atom_site_type_symbol
_atom_site_fract_x
_atom_site_fract_y
_atom_site_fract_z
_atom_site_occupancy
Ta1 Ta 0.000 0.000 0.000 1
Ta2 Ta 0.000 0.500 0.250 1
Ta3 Ta 0.500 0.000 0.750 1
Ta4 Ta 0.500 0.500 0.500 1
Bi1 Bi 0.248 0.250 0.625 1
Bi2 Bi 0.250 0.748 0.875 1
Bi3 Bi 0.250 0.752 0.375 1
Bi4 Bi 0.252 0.250 0.125 1
Bi5 Bi 0.748 0.750 0.125 1
Bi6 Bi 0.750 0.248 0.375 1
Bi7 Bi 0.750 0.252 0.875 1
Bi8 Bi 0.752 0.750 0.625 1
Pt1 Pt 0.000 0.000 0.500 1
Pt2 Pt 0.000 0.500 0.750 1
Pt3 Pt 0.500 0.000 0.250 1
Pt4 Pt 0.500 0.500 0.000 1
```

Output
Its space-group type is I-42d. The calculated formation energy comes out at 566 meV/atom.